[1]
## CaZrIrPd (GGA-PBE)

Data for crystalline CaZrIrPd at its relaxed geometry.

The structure belongs to space group F-43m (No. 216); the cell edges are 6.7432, 6.7432 and 6.7432 Å and the angles 90.00°, 90.00° and 90.00°. The asymmetric unit holds Ca at (0.0000, 0.0000, 0.0000), Zr at (0.0000, 0.0000, 0.5000), Ir at (0.2500, 0.2500, 0.2500) and Pd at (0.2500, 0.2500, 0.7500).

***

[2]
## ReMoW2Se (GGA-PBE)

Data for crystalline ReMoW2Se at its relaxed geometry.

The structure belongs to space group P4/mmm (No. 123); the cell edges are 4.5307, 4.5307 and 4.4889 Å and the angles 90.00°, 90.00° and 90.00°. The asymmetric unit holds Re at (0.0000, 0.0000, 0.0000), Mo at (0.5000, 0.5000, 0.0000), W at (0.0000, 0.5000, 0.5000) and Se at (0.5000, 0.5000, 0.5000).

The raw formation energy comes out at 1.718 eV/atom.

***

[3]
## Zn2FeAs (GGA-PBE)

Data for crystalline Zn2FeAs at its relaxed geometry.

The structure belongs to space group C2/m (No. 12); the cell edges are 10.0496, 2.7382 and 4.3316 Å and the angles 90.00°, 96.29° and 90.00°. The asymmetric unit holds Zn at (0.2336, 0.0000, 0.2399), Fe at (0.0000, 0.5000, 0.0000) and As at (0.0000, 0.0000, 0.5000).

***

[4]
## ZrAlAu (GGA-PBE)

Data for crystalline ZrAlAu at its relaxed geometry.

The structure belongs to space group P1 (No. 1); the cell edges are 4.3384, 5.7409 and 5.8211 Å and the angles 101.62°, 111.72° and 112.19°. The asymmetric unit holds Zr at (0.0000, 0.0000, 0.0000), Zr at (0.1533, 0.7936, 0.5120), Al at (0.3135, 0.6243, 0.0031), Al at (0.5057, 0.4334, 0.5778), Au at (0.6815, 0.3523, 0.0111) and Au at (0.7808, 0.1292, 0.4312).

***

[5]
## Cu2P (GGA-PBE)

Data for crystalline Cu2P at its relaxed geometry.

The structure belongs to space group I4_1/amd (No. 141, origin choice 2); the cell edges are 3.6249, 3.6249 and 23.2193 Å and the angles 90.00°, 90.00° and 90.00°. The asymmetric unit holds Cu at (0.0000, 0.2500, 0.1215), Cu at (0.0000, 0.2500, 0.2899) and P at (0.0000, 0.2500, 0.8021).

***

[6]
## RhSeO4 (GGA-PBE)

Data for crystalline RhSeO4 at its relaxed geometry.

The structure belongs to space group P2_1/c (No. 14); the cell edges are 5.6467, 4.5913 and 5.6556 Å and the angles 90.00°, 113.43° and 90.00°. The asymmetric unit holds Rh at (0.0000, 0.0000, 0.0000), Se at (0.5000, 0.0000, 0.5000), O at (0.1658, 0.2233, 0.3339) and O at (0.3412, 0.7172, 0.6683).

The raw formation energy comes out at -0.534 eV/atom.

***

Number 1: density of states at the Fermi level 1.24 states/eV/f.u., calculated total energy -107.6 eV/cell. Number 2: density of states at the Fermi level 3.43 states/eV/f.u., calculated total energy -44.1 eV/cell. Number 3: density of states at the Fermi level 1.77 states/eV/f.u., calculated total energy -30.1 eV/cell. Number 4: density of states at the Fermi level 2.01 states/eV/f.u., calculated total energy -34.1 eV/cell. Number 5: density of states at the Fermi level 0.82 states/eV/f.u., calculated total energy -106.7 eV/cell. Number 6: density of states at the Fermi level 3.38 states/eV/f.u., calculated total energy -67.7 eV/cell.